VASP calculation (PBE) on crystalline CaAs2IrRu at its relaxed geometry.

Results
calculated density: 8405 kg/m³
total magnetic moment: 0.000 μB/atom
calculated total energy: -32.6 eV per cell
volume: 19.09 Å³/atom
calculated formation energy: -60 kJ per mole of atoms
crystal system: tetragonal

Cell lengths 4.142, 4.142, 6.289 Å; angles 109.23, 109.23, 90.00 degrees
Fractional positions:
1 As 0.631 0.631 0.262
2 Ca 0.000 0.000 0.000
3 Ir 0.250 0.750 0.500
4 Ru 0.750 0.250 0.500
5 As 0.369 0.369 0.738



VASP calculation (PBE) on crystalline MnTcIr2 at its relaxed geometry.

Results
calculated density: 15948 kg/m³
total magnetic moment: 0.585 μB/atom
calculated total energy: -38.0 eV per cell
volume: 13.99 Å³/atom
calculated formation energy: -17 kJ per mole of atoms
crystal system: orthorhombic

Cell lengths 3.801, 2.723, 6.051 Å; angles 63.29, 90.00, 90.00 degrees
Fractional positions:
1 Ir 0.000 0.502 0.498
2 Ir 0.000 0.998 0.002
3 Tc 0.500 0.750 0.750
4 Mn 0.500 0.250 0.250



VASP calculation (PBE) on crystalline Be2HgRh at its relaxed geometry.

Results
calculated density: 9722 kg/m³
total magnetic moment: 0.000 μB/atom
calculated total energy: -14.0 eV per cell
volume: 13.73 Å³/atom
calculated formation energy: 26 kJ per mole of atoms
crystal system: cubic

Cell lengths 4.267, 4.267, 4.267 Å; angles 60.00, 60.00, 60.00 degrees
Fractional positions:
1 Be 0.000 0.000 0.000
2 Be 0.250 0.250 0.250
3 Rh 0.750 0.750 0.750
4 Hg 0.500 0.500 0.500



VASP calculation (PBE) on crystalline PuTcNi at its relaxed geometry.

Results
calculated density: 14584 kg/m³
total magnetic moment: 0.264 μB/atom
calculated total energy: -29.4 eV per cell
volume: 15.21 Å³/atom
calculated formation energy: 34 kJ per mole of atoms
crystal system: hexagonal

Cell lengths 2.429, 4.657, 4.657 Å; angles 120.00, 90.00, 90.00 degrees
Fractional positions:
1 Tc 0.167 0.000 0.000
2 Ni 0.167 0.333 0.667
3 Pu 0.667 0.667 0.333



VASP calculation (PBE) on crystalline P2HF at its relaxed geometry.

Results
calculated density: 3111 kg/m³
total magnetic moment: 0.000 μB/atom
calculated total energy: -13.7 eV per cell
volume: 10.94 Å³/atom
crystal system: cubic

Cell lengths 3.955, 3.955, 3.955 Å; angles 60.00, 60.00, 60.00 degrees
Fractional positions:
1 P 0.750 0.750 0.750
2 P 0.250 0.250 0.250
3 H 0.000 0.000 0.000
4 F 0.500 0.500 0.500



VASP calculation (PBE) on crystalline Rb2SiAs2 at its relaxed geometry.

Results
calculated density: 2749 kg/m³
total magnetic moment: 0.000 μB/atom
calculated total energy: -36.7 eV per cell
volume: 42.15 Å³/atom
raw formation energy: -337 meV/atom
crystal system: monoclinic

Cell lengths 6.843, 8.359, 11.128 Å; angles 128.88, 90.00, 114.16 degrees
Fractional positions:
1 Si 0.628 0.255 0.159
2 As 0.450 0.901 0.110
3 Rb 0.905 0.809 0.175
4 Rb 0.095 0.191 0.825
5 Rb 0.684 0.368 0.550
6 Rb 0.316 0.632 0.450
7 As 0.179 0.358 0.607
8 Si 0.372 0.745 0.841
9 As 0.550 0.099 0.890
10 As 0.821 0.642 0.393



VASP calculation (PBE) on crystalline LaInRh2 at its relaxed geometry.

Results
calculated density: 9522 kg/m³
total magnetic moment: 0.000 μB/atom
calculated total energy: -24.3 eV per cell
volume: 20.03 Å³/atom
calculated formation energy: -48 kJ per mole of atoms
crystal system: tetragonal

Cell lengths 3.476, 3.485, 6.615 Å; angles 90.00, 90.00, 90.00 degrees
Fractional positions:
1 Rh 0.000 0.000 0.223
2 In 0.500 0.500 0.000
3 La 0.500 0.500 0.500
4 Rh 0.000 0.000 0.777



VASP calculation (PBE) on crystalline Y3Rh at its relaxed geometry.

Results
calculated density: 6192 kg/m³
total magnetic moment: 0.153 μB/atom
calculated total energy: -27.0 eV per cell
volume: 24.78 Å³/atom
calculated formation energy: -7 kJ per mole of atoms
crystal system: cubic

Cell lengths 5.195, 5.195, 5.195 Å; angles 60.00, 60.00, 60.00 degrees
Fractional positions:
1 Y 0.500 0.500 0.500
2 Y 0.750 0.750 0.750
3 Rh 0.000 0.000 0.000
4 Y 0.250 0.250 0.250



VASP calculation (PBE) on crystalline Pm5GeAu4 at its relaxed geometry.

Results
calculated density: 10515 kg/m³
total magnetic moment: 0.000 μB/atom
calculated total energy: -49.0 eV per cell
volume: 25.04 Å³/atom
calculated formation energy: -73 kJ per mole of atoms
crystal system: tetragonal

Cell lengths 3.673, 3.673, 18.565 Å; angles 90.00, 90.00, 90.00 degrees
Fractional positions:
1 Ge 0.000 0.000 0.000
2 Au 0.000 0.000 0.400
3 Pm 0.500 0.500 0.701
4 Pm 0.500 0.500 0.299
5 Au 0.000 0.000 0.799
6 Pm 0.500 0.500 0.098
7 Au 0.000 0.000 0.201
8 Pm 0.500 0.500 0.902
9 Pm 0.500 0.500 0.500
10 Au 0.000 0.000 0.600



VASP calculation (PBE) on crystalline CaNb2H at its relaxed geometry.

Results
calculated density: 5091 kg/m³
total magnetic moment: 0.000 μB/atom
calculated total energy: -99.7 eV per cell
volume: 18.50 Å³/atom
crystal system: monoclinic

Cell lengths 5.135, 11.308, 5.109 Å; angles 90.00, 93.71, 90.00 degrees
Fractional positions:
1 Nb 0.764 0.702 0.225
2 Ca 0.252 0.500 0.255
3 Nb 0.764 0.798 0.725
4 Nb 0.764 0.202 0.725
5 Nb 0.236 0.702 0.775
6 Ca 0.252 0.000 0.755
7 Nb 0.236 0.298 0.775
8 H 0.500 0.199 0.000
9 Ca 0.748 0.000 0.245
10 H 0.500 0.699 0.500
11 Nb 0.236 0.202 0.275
12 Nb 0.764 0.298 0.225
13 Nb 0.236 0.798 0.275
14 Ca 0.748 0.500 0.745
15 H 0.500 0.801 0.000
16 H 0.500 0.301 0.500



VASP calculation (PBE) on crystalline NaGdMgGa at its relaxed geometry.

Results
calculated density: 4930 kg/m³
total magnetic moment: 1.809 μB/atom
calculated total energy: -20.5 eV per cell
volume: 23.09 Å³/atom
calculated formation energy: -13 kJ per mole of atoms
crystal system: cubic

Cell lengths 5.074, 5.074, 5.074 Å; angles 60.00, 60.00, 60.00 degrees
Fractional positions:
1 Mg 0.500 0.500 0.500
2 Na 0.250 0.250 0.250
3 Gd 0.000 0.000 0.000
4 Ga 0.750 0.750 0.750



VASP calculation (PBE) on crystalline Er4PRhS2 at its relaxed geometry.

Results
calculated density: 8249 kg/m³
total magnetic moment: 0.000 μB/atom
calculated total energy: -51.6 eV per cell
volume: 21.82 Å³/atom
raw formation energy: -1536 meV/atom
crystal system: monoclinic

Cell lengths 3.893, 6.908, 6.849 Å; angles 71.39, 90.00, 90.00 degrees
Fractional positions:
1 P 0.000 0.500 0.500
2 S 0.000 0.000 0.000
3 Er 0.500 0.739 0.249
4 Er 0.000 0.259 0.245
5 Er 0.000 0.741 0.755
6 S 0.500 0.000 0.500
7 Er 0.500 0.261 0.751
8 Rh 0.500 0.500 0.000



VASP calculation (PBE) on crystalline Sr3Tl4Cd at its relaxed geometry.

Results
calculated density: 7641 kg/m³
total magnetic moment: 0.000 μB/atom
calculated total energy: -17.9 eV per cell
volume: 32.40 Å³/atom
calculated formation energy: -30 kJ per mole of atoms
crystal system: tetragonal

Cell lengths 4.043, 4.043, 15.858 Å; angles 90.00, 90.00, 90.00 degrees
Fractional positions:
1 Tl 0.000 0.000 0.102
2 Sr 0.500 0.500 0.239
3 Tl 0.000 0.000 0.373
4 Tl 0.000 0.000 0.627
5 Tl 0.000 0.000 0.898
6 Cd 0.500 0.500 0.000
7 Sr 0.500 0.500 0.500
8 Sr 0.500 0.500 0.761